(1)
4
Lattice="0.000 3.496 3.496 3.496 0.000 3.496 3.496 3.496 0.000" Properties=species:S:1:pos:R:3 comment="GdDyGaCo | the Alexandria database | PBE | relaxed" volume_a3_per_cell=85.5 energy_ev_per_fu=-30.06 m_tot_mub_per_fu=6.07 delta_e_f_ev_per_atom=-0.311 space_group="No. 216" pbc="T T T"
Gd 0.000 0.000 0.000
Dy 3.496 3.496 3.496
Ga 5.245 5.245 5.245
Co 1.748 1.748 1.748

(2)
12
Lattice="4.653 -2.873 0.000 4.653 2.873 0.000 -0.897 0.000 8.318" Properties=species:S:1:pos:R:3 comment="NdHgS2O8 | the Alexandria database | PBE | relaxed" e_form_raw_ev_per_atom=-1.675 volume_a3_per_cell=222.4 energy_ev_per_fu=-73.09 m_tot_mub_per_fu=1.03 space_group="No. 12" pbc="T T T"
Nd 0.000 0.000 0.000
Hg -0.448 0.000 4.159
S 2.386 0.000 6.436
S 6.024 0.000 1.882
O 3.220 1.213 6.715
O 1.236 0.000 7.390
O 1.942 0.000 5.036
O 5.190 1.213 1.603
O 3.220 -1.213 6.715
O 6.468 0.000 3.282
O 7.175 0.000 0.928
O 5.190 -1.213 1.603

(3)
18
Lattice="-4.674 4.710 4.804 4.674 -4.710 4.804 4.674 4.710 -4.804" Properties=species:S:1:pos:R:3 comment="Y6Co2Os | the Alexandria database | PBE | relaxed" volume_a3_per_cell=423.1 energy_ev_per_fu=-65.65 m_tot_mub_per_fu=0.00 delta_e_f_ev_per_atom=-0.159 space_group="No. 71" pbc="T T T"
Y 4.674 2.977 -2.494
Y 2.926 0.000 1.643
Y 6.423 0.000 1.643
Y 2.230 3.058 0.000
Y 2.445 -1.652 4.804
Y 0.000 1.733 2.311
Y 4.674 2.977 2.494
Y 2.230 6.363 0.000
Y 2.445 1.652 4.804
Y -1.749 4.710 3.161
Y 1.749 4.710 3.161
Y 0.000 1.733 7.298
Co 4.674 1.545 0.000
Co 4.674 0.000 3.722
Co 0.000 4.710 1.082
Co 0.000 3.166 4.804
Os 0.000 0.000 0.000
Os 0.000 0.000 4.804

(4)
12
Lattice="5.406 0.000 0.000 -2.703 4.682 0.000 0.000 0.000 6.517" Properties=species:S:1:pos:R:3 comment="Sr3FeC2N6 | the Alexandria database | PBE | relaxed" e_form_raw_ev_per_atom=-0.305 volume_a3_per_cell=165.0 energy_ev_per_fu=-85.57 m_tot_mub_per_fu=4.61 space_group="No. 164" pbc="T T T"
Sr 0.000 0.000 0.000
Sr 0.000 3.121 4.450
Sr 2.703 1.561 2.067
Fe 0.000 0.000 3.258
C 0.000 3.121 1.864
C 2.703 1.561 4.652
N 0.000 1.751 1.893
N -1.187 3.807 1.893
N 1.516 0.875 4.624
N 1.187 3.807 1.893
N 3.890 0.875 4.624
N 2.703 2.931 4.624